This record from the Alexandria database describes a relaxed RbCrCdO4 crystal. The functional is GGA+U.

The space group is P2_1/m (No. 11) and the conventional cell measures 5.780, 6.229 and 7.544 Å, with angles of 90.00, 103.95 and 90.00 degrees. Symmetry generates all atoms from Rb at (0.241, 0.250, 0.449), Cr at (0.239, 0.750, 0.183), Cd at (0.355, 0.250, 0.995), O at (0.024, 0.750, 0.985), O at (0.157, 0.750, 0.381) and O at (0.448, 0.537, 0.184).

Its volume is 18.8 Å³/atom. The total magnetic moment is 1.00 μB/f.u. The final energy is -5.5485 eV/atom.